The following is a PBE calculation of crystalline ZnOs3 at its relaxed geometry, from Alexandria.

For the mass density, the calculation gives 18.27 Mg/m³. The formation energy comes out at 2.12 eV per formula unit. For the uncorrected energy, the calculation gives -8.211 eV per atom.

The space group is P4/mmm (No. 123) and the conventional cell measures 4.5340, 4.5340 and 2.8126 Å, with angles of 90.00, 90.00 and 90.00 degrees. The inequivalent atoms are Zn at (0.0000, 0.0000, 0.0000), Os at (0.0000, 0.5000, 0.5000) and Os at (0.5000, 0.5000, 0.0000).